[1]
This record from the Alexandria database describes Sr2Ca6Rh after structural relaxation. The functional is PBE.

Computed properties:
**Formation enthalpy at 0 K**: -0.153 eV per atom

Cell: 8.0265 8.0265 8.0265 Å, 60.00 60.00 60.00°
Sites, in units of the cell vectors:
1 Sr 0.2500 0.2500 0.2500
2 Sr 0.7500 0.7500 0.7500
3 Ca 0.2453 0.2453 0.7547
4 Ca 0.2453 0.7547 0.2453
5 Ca 0.2453 0.7547 0.7547
6 Ca 0.7547 0.2453 0.2453
7 Ca 0.7547 0.2453 0.7547
8 Ca 0.7547 0.7547 0.2453
9 Rh 0.0000 0.0000 0.0000

=====

[2]
This record from the Alexandria database describes SrCaRh4 after structural relaxation. The functional is PBE.

Computed properties:
**Formation enthalpy at 0 K**: -0.326 eV per atom

Cell: 5.4239 5.4239 5.4239 Å, 60.00 60.00 60.00°
Sites, in units of the cell vectors:
1 Sr 0.0000 0.0000 0.0000
2 Ca 0.7500 0.7500 0.7500
3 Rh 0.3753 0.3753 0.3753
4 Rh 0.3753 0.3753 0.8742
5 Rh 0.3753 0.8742 0.3753
6 Rh 0.8742 0.3753 0.3753

=====

[3]
This record from the Alexandria database describes Sr2CaRh after structural relaxation. The functional is PBE.

Computed properties:
**Excess energy over the best structure of this formula in the dataset**: 2.57 kcal/mol of atoms
**Formation enthalpy at 0 K**: -0.120 eV per atom

Cell: 3.6868 3.6868 10.2371 Å, 90.00 90.00 90.00°
Sites, in units of the cell vectors:
1 Sr 0.0000 0.0000 0.0000
2 Sr 0.5000 0.5000 0.3500
3 Ca 0.0000 0.0000 0.6732
4 Rh 0.5000 0.5000 0.8223

=====

[4]
This record from the Alexandria database describes Sr4Ca3Rh2 after structural relaxation. The functional is PBE.

Computed properties:
**Formation enthalpy at 0 K**: -0.201 eV per atom

Cell: 9.2657 9.2657 9.5597 Å, 115.73 115.73 26.47°
Sites, in units of the cell vectors:
1 Sr 0.1184 0.1184 0.3614
2 Sr 0.2732 0.2732 0.8606
3 Sr 0.7268 0.7268 0.1394
4 Sr 0.8816 0.8816 0.6386
5 Ca 0.4219 0.4219 0.2837
6 Ca 0.5000 0.5000 0.0000
7 Ca 0.5781 0.5781 0.7163
8 Rh 0.0996 0.0996 0.9338
9 Rh 0.9004 0.9004 0.0662

=====

[5]
This record from the Alexandria database describes SrCaRh after structural relaxation. The functional is PBE.

Computed properties:
**Excess energy over the best structure of this formula in the dataset**: 3.46 kcal/mol of atoms
**Formation enthalpy at 0 K**: -0.126 eV per atom

Cell: 4.2842 4.2842 6.4530 Å, 90.00 90.00 120.00°
Sites, in units of the cell vectors:
1 Sr 0.0000 0.0000 0.0000
2 Ca 0.6667 0.3333 0.5423
3 Rh 0.3333 0.6667 0.7476

=====

[6]
This record from the Alexandria database describes SrCaRh after structural relaxation. The functional is PBE.

Computed properties:
**Excess energy over the best structure of this formula in the dataset**: 1.29 kcal/mol of atoms
**Formation enthalpy at 0 K**: -0.220 eV per atom

Cell: 7.3275 7.3275 7.3275 Å, 151.41 151.41 40.88°
Sites, in units of the cell vectors:
1 Sr 0.0000 0.0000 0.0000
2 Ca 0.2439 0.2439 0.0000
3 Rh 0.6316 0.6316 0.0000

=====

[7]
This record from the Alexandria database describes Sr2CaRh2 after structural relaxation. The functional is PBE.

Computed properties:
**Excess energy over the best structure of this formula in the dataset**: 0.00 kcal/mol of atoms
**Formation enthalpy at 0 K**: -0.266 eV per atom

Cell: 6.1191 6.1191 6.1191 Å, 136.76 117.47 79.06°
Sites, in units of the cell vectors:
1 Sr 0.1974 0.1974 0.0000
2 Sr 0.8026 0.8026 0.0000
3 Ca 0.5000 0.0000 0.5000
4 Rh 0.2106 0.5000 0.7106
5 Rh 0.7894 0.5000 0.2894

=====

[8]
This record from the Alexandria database describes Sr2CaRh after structural relaxation. The functional is PBE.

Computed properties:
**Excess energy over the best structure of this formula in the dataset**: 8.18 kcal/mol of atoms
**Formation enthalpy at 0 K**: 0.123 eV per atom

Cell: 5.1015 5.1015 4.8139 Å, 90.09 90.09 89.94°
Sites, in units of the cell vectors:
1 Sr 0.0000 0.5000 0.0000
2 Sr 0.5000 0.0000 0.0000
3 Ca 0.0000 0.0000 0.5000
4 Rh 0.5000 0.5000 0.5000

=====

> Which value of formation enthalpy at 0 K does entry 3 give?

-0.120 eV per atom

=====

Copy entry 5 word for word.
This record from the Alexandria database describes SrCaRh after structural relaxation. The functional is PBE.

Computed properties:
**Excess energy over the best structure of this formula in the dataset**: 3.46 kcal/mol of atoms
**Formation enthalpy at 0 K**: -0.126 eV per atom

Cell: 4.2842 4.2842 6.4530 Å, 90.00 90.00 120.00°
Sites, in units of the cell vectors:
1 Sr 0.0000 0.0000 0.0000
2 Ca 0.6667 0.3333 0.5423
3 Rh 0.3333 0.6667 0.7476

=====

> What is the formation enthalpy at 0 K in the third record?

-0.120 eV per atom